Here is a relaxed structure of Ho4Ni2Hg from Alexandria. Energies are from PBE.

Cell lengths 8.441, 8.439, 6.798 Å; angles 107.90, 107.82, 120.70 degrees
Sites, in units of the cell vectors:
Ho 0.828 0.591 0.569
Ni 0.450 0.366 0.558
Ni 0.615 0.199 0.058
Ho 0.839 0.577 0.068
Ni 0.109 0.538 0.879
Ho 0.797 0.125 0.772
Hg 0.043 0.028 0.079
Hg 0.278 0.793 0.578
Ho 0.393 0.995 0.238
Ho 0.525 0.715 0.907
Ho 0.965 0.275 0.407
Ni 0.788 0.859 0.378
Ho 0.244 0.143 0.736
Ho 0.375 0.547 0.272

Computed properties:
For the energy of formation from the pure elements, the calculation gives -0.337 eV per atom. The space group is P1 (1). For the total energy, the calculation gives -4.647 eV per atom. The value obtained for the spin magnetization is 0.0000 μB per atom.